{"formula": "BaNa3I", "functional": "PBE-GGA", "state": "optimized geometry", "lattice_angstrom": [[7.333, 0.000, 0.000], [0.000, 7.333, 0.000], [0.000, 0.000, 7.333]], "species": ["Ba", "Na", "Na", "Na", "I"], "frac_coords": [[0.000, 0.000, 0.000], [0.000, 0.000, 0.500], [0.000, 0.500, 0.000], [0.500, 0.000, 0.000], [0.500, 0.500, 0.500]], "raw_formation_energy_kj_per_mol_atoms": 34.3, "space_group": "No. 221", "e_above_lowest_polymorph_mev_per_atom": 576.6, "total_magnetization_mub_per_fu": 2.00}

***

{"formula": "HfGa2S4", "functional": "PBE-GGA", "state": "optimized geometry", "lattice_angstrom": [[-3.679, 3.679, 3.175], [3.679, -3.679, 3.175], [3.679, 3.679, -3.175]], "species": ["Hf", "Ga", "Ga", "S", "S", "S", "S"], "frac_coords": [[0.000, 0.000, 0.000], [0.250, 0.750, 0.500], [0.750, 0.250, 0.500], [0.148, 0.313, 0.461], [0.313, 0.852, 0.165], [0.687, 0.148, 0.835], [0.852, 0.687, 0.539]], "raw_formation_energy_kj_per_mol_atoms": -51.6, "space_group": "No. 87", "total_magnetization_mub_per_fu": 1.75}

***

{"formula": "Li5Ce2Pb4", "functional": "PBE-GGA", "state": "optimized geometry", "lattice_angstrom": [[0.000, 5.444, 8.471], [3.092, 0.000, 8.471], [3.092, 5.444, 0.000]], "species": ["Li", "Li", "Li", "Li", "Li", "Ce", "Ce", "Pb", "Pb", "Pb", "Pb"], "frac_coords": [[0.000, 0.000, 0.000], [0.000, 0.000, 0.500], [0.250, 0.250, 0.250], [0.500, 0.500, 0.000], [0.750, 0.750, 0.750], [0.325, 0.325, 0.675], [0.675, 0.675, 0.325], [0.007, 0.720, 0.280], [0.280, 0.993, 0.007], [0.720, 0.007, 0.993], [0.993, 0.280, 0.720]], "delta_e_f_ev_per_atom": -0.190, "space_group": "No. 69", "total_magnetization_mub_per_fu": 3.08}

***

{"formula": "LiNd2Sn2Rh5", "functional": "PBE-GGA", "state": "optimized geometry", "lattice_angstrom": [[10.369, 0.000, 0.000], [0.000, 10.369, 0.000], [0.000, 0.000, 3.620]], "species": ["Li", "Li", "Nd", "Nd", "Nd", "Nd", "Sn", "Sn", "Sn", "Sn", "Rh", "Rh", "Rh", "Rh", "Rh", "Rh", "Rh", "Rh", "Rh", "Rh"], "frac_coords": [[0.000, 0.000, 0.000], [0.500, 0.500, 0.000], [0.169, 0.331, 0.000], [0.331, 0.831, 0.000], [0.669, 0.169, 0.000], [0.831, 0.669, 0.000], [0.131, 0.631, 0.000], [0.369, 0.131, 0.000], [0.631, 0.869, 0.000], [0.869, 0.369, 0.000], [0.000, 0.500, 0.500], [0.055, 0.802, 0.500], [0.198, 0.055, 0.500], [0.302, 0.555, 0.500], [0.445, 0.302, 0.500], [0.500, 0.000, 0.500], [0.555, 0.698, 0.500], [0.698, 0.445, 0.500], [0.802, 0.945, 0.500], [0.945, 0.198, 0.500]], "delta_e_f_ev_per_atom": -0.405, "space_group": "No. 127", "total_magnetization_mub_per_fu": 0.00}

***

{"formula": "Ba2ErPbO6", "functional": "PBE-GGA", "state": "optimized geometry", "lattice_angstrom": [[0.000, 4.369, 4.369], [4.369, 0.000, 4.369], [4.369, 4.369, 0.000]], "species": ["Ba", "Ba", "Er", "Pb", "O", "O", "O", "O", "O", "O"], "frac_coords": [[0.250, 0.250, 0.250], [0.750, 0.750, 0.750], [0.000, 0.000, 0.000], [0.500, 0.500, 0.500], [0.252, 0.252, 0.748], [0.252, 0.748, 0.252], [0.252, 0.748, 0.748], [0.748, 0.252, 0.252], [0.748, 0.252, 0.748], [0.748, 0.748, 0.252]], "raw_formation_energy_kj_per_mol_atoms": -216.2, "space_group": "No. 225", "total_magnetization_mub_per_fu": 0.87}

***

{"formula": "TlMoS3", "functional": "PBE-GGA", "state": "optimized geometry", "lattice_angstrom": [[4.779, 0.000, 0.000], [0.000, 4.779, 0.000], [0.000, 0.000, 4.779]], "species": ["Tl", "Mo", "S", "S", "S"], "frac_coords": [[0.000, 0.000, 0.000], [0.500, 0.500, 0.500], [0.000, 0.500, 0.500], [0.500, 0.000, 0.500], [0.500, 0.500, 0.000]], "raw_formation_energy_kj_per_mol_atoms": -23.0, "space_group": "No. 221", "e_above_lowest_polymorph_mev_per_atom": 141.6, "total_magnetization_mub_per_fu": 0.00}

***

{"formula": "PaZnSi2Pt2", "functional": "PBE-GGA", "state": "optimized geometry", "lattice_angstrom": [[4.222, 0.000, 0.000], [-2.111, 3.656, 0.000], [0.000, 0.000, 6.642]], "species": ["Pa", "Zn", "Si", "Si", "Pt", "Pt"], "frac_coords": [[0.000, 0.000, 0.000], [0.000, 0.000, 0.500], [0.333, 0.667, 0.728], [0.667, 0.333, 0.272], [0.333, 0.667, 0.307], [0.667, 0.333, 0.693]], "raw_formation_energy_kj_per_mol_atoms": -68.5, "space_group": "No. 164", "total_magnetization_mub_per_fu": 0.00}

***

{"formula": "NaPIr", "functional": "PBE-GGA", "state": "optimized geometry", "lattice_angstrom": [[-1.519, 1.519, 5.667], [1.519, -1.519, 5.667], [1.519, 1.519, -5.667]], "species": ["Na", "P", "Ir"], "frac_coords": [[0.000, 0.000, 0.000], [0.698, 0.698, 0.000], [0.290, 0.290, 0.000]], "delta_e_f_ev_per_atom": -0.285, "space_group": "No. 107", "total_magnetization_mub_per_fu": 0.00}

***

{"formula": "HfNb2VRh", "functional": "PBE-GGA", "state": "optimized geometry", "lattice_angstrom": [[4.903, 0.000, 0.000], [0.000, 4.903, 0.000], [0.000, 0.000, 4.619]], "species": ["Hf", "Nb", "Nb", "V", "Rh"], "frac_coords": [[0.000, 0.000, 0.000], [0.000, 0.500, 0.000], [0.500, 0.000, 0.000], [0.500, 0.500, 0.500], [0.000, 0.000, 0.500]], "delta_e_f_ev_per_atom": 1.626, "space_group": "No. 123", "total_magnetization_mub_per_fu": 0.01}

***

{"formula": "Mg2Te", "functional": "PBE-GGA", "state": "optimized geometry", "lattice_angstrom": [[2.054, 1.186, 5.833], [-2.054, 1.186, 5.833], [0.000, -2.372, 5.833]], "species": ["Mg", "Mg", "Te"], "frac_coords": [[0.233, 0.233, 0.233], [0.767, 0.767, 0.767], [0.000, 0.000, 0.000]], "raw_formation_energy_kj_per_mol_atoms": -28.6, "space_group": "No. 166", "total_magnetization_mub_per_fu": 0.00}

***

{"formula": "Si3Sb", "functional": "PBE-GGA", "state": "optimized geometry", "lattice_angstrom": [[3.619, 0.000, 0.000], [-1.810, 3.135, 0.000], [0.000, 0.000, 6.841]], "species": ["Si", "Si", "Si", "Sb"], "frac_coords": [[0.000, 0.000, 0.000], [0.667, 0.333, 0.206], [0.667, 0.333, 0.794], [0.000, 0.000, 0.500]], "raw_formation_energy_kj_per_mol_atoms": 38.3, "space_group": "No. 187", "e_above_lowest_polymorph_mev_per_atom": 59.5, "total_magnetization_mub_per_fu": 0.00}

***

{"formula": "TbPaC2", "functional": "PBE-GGA", "state": "optimized geometry", "lattice_angstrom": [[1.820, 1.051, 5.857], [-1.820, 1.051, 5.857], [0.000, -2.102, 5.857]], "species": ["Tb", "Pa", "C", "C"], "frac_coords": [[0.000, 0.000, 0.000], [0.500, 0.500, 0.500], [0.242, 0.242, 0.242], [0.758, 0.758, 0.758]], "delta_e_f_ev_per_atom": -0.386, "space_group": "No. 166", "e_above_lowest_polymorph_mev_per_atom": 0.0, "total_magnetization_mub_per_fu": 0.00}

***

{"formula": "Li3Tl2Sn2", "functional": "PBE-GGA", "state": "optimized geometry", "lattice_angstrom": [[8.548, -2.467, 0.000], [8.548, 2.467, 0.000], [-0.952, 0.000, 4.139]], "species": ["Li", "Li", "Li", "Tl", "Tl", "Sn", "Sn"], "frac_coords": [[0.000, 0.000, 0.000], [0.316, 0.316, 0.060], [0.684, 0.684, 0.940], [0.178, 0.178, 0.473], [0.822, 0.822, 0.527], [0.441, 0.441, 0.690], [0.559, 0.559, 0.310]], "delta_e_f_ev_per_atom": -0.137, "space_group": "No. 12", "total_magnetization_mub_per_fu": 0.00}

***

{"formula": "SrPm2Cl8", "functional": "PBE-GGA", "state": "optimized geometry", "lattice_angstrom": [[10.734, -2.039, 0.000], [10.734, 2.039, 0.000], [-0.717, 0.000, 7.739]], "species": ["Sr", "Pm", "Pm", "Cl", "Cl", "Cl", "Cl", "Cl", "Cl", "Cl", "Cl"], "frac_coords": [[0.000, 0.000, 0.000], [0.339, 0.339, 0.658], [0.661, 0.661, 0.342], [0.117, 0.117, 0.534], [0.137, 0.137, 0.073], [0.258, 0.258, 0.332], [0.474, 0.474, 0.746], [0.526, 0.526, 0.254], [0.742, 0.742, 0.668], [0.863, 0.863, 0.927], [0.883, 0.883, 0.466]], "raw_formation_energy_kj_per_mol_atoms": -221.9, "space_group": "No. 12", "e_above_lowest_polymorph_mev_per_atom": 0.0, "total_magnetization_mub_per_fu": 0.00}

***

{"formula": "Ti3RuF", "functional": "PBE-GGA", "state": "optimized geometry", "lattice_angstrom": [[4.139, 0.000, 0.000], [0.000, 4.139, 0.000], [0.000, 0.000, 4.139]], "species": ["Ti", "Ti", "Ti", "Ru", "F"], "frac_coords": [[0.000, 0.000, 0.500], [0.000, 0.500, 0.000], [0.500, 0.000, 0.000], [0.500, 0.500, 0.500], [0.000, 0.000, 0.000]], "raw_formation_energy_kj_per_mol_atoms": -58.8, "space_group": "No. 221", "e_above_lowest_polymorph_mev_per_atom": 0.0, "total_magnetization_mub_per_fu": 0.00}

***

{"formula": "V3Ni5Pt2", "functional": "PBE-GGA", "state": "optimized geometry", "lattice_angstrom": [[4.535, 0.000, 0.000], [0.039, 6.932, 0.000], [1.510, 1.148, 7.966]], "species": ["V", "V", "V", "V", "V", "V", "Ni", "Ni", "Ni", "Ni", "Ni", "Ni", "Ni", "Ni", "Ni", "Ni", "Pt", "Pt", "Pt", "Pt"], "frac_coords": [[0.162, 0.125, 0.407], [0.186, 0.569, 0.717], [0.241, 0.016, 0.074], [0.759, 0.984, 0.926], [0.814, 0.431, 0.283], [0.838, 0.875, 0.593], [0.018, 0.235, 0.679], [0.073, 0.679, 0.032], [0.268, 0.476, 0.431], [0.413, 0.806, 0.465], [0.474, 0.278, 0.825], [0.526, 0.722, 0.175], [0.587, 0.194, 0.535], [0.732, 0.524, 0.569], [0.927, 0.321, 0.968], [0.982, 0.765, 0.321], [0.296, 0.928, 0.762], [0.356, 0.365, 0.133], [0.644, 0.635, 0.867], [0.704, 0.072, 0.238]], "delta_e_f_ev_per_atom": -0.251, "space_group": "No. 2", "total_magnetization_mub_per_fu": 0.01}

***

{"formula": "CaCe2NdSe4", "functional": "PBE-GGA", "state": "optimized geometry", "lattice_angstrom": [[7.299, 0.000, 0.000], [0.000, 4.192, 0.000], [-2.411, 0.000, 6.934]], "species": ["Ca", "Ce", "Ce", "Nd", "Se", "Se", "Se", "Se"], "frac_coords": [[0.000, 0.000, 0.000], [0.000, 0.500, 0.500], [0.500, 0.000, 0.500], [0.500, 0.500, 0.000], [0.245, 0.500, 0.245], [0.246, 0.000, 0.752], [0.754, 0.000, 0.248], [0.755, 0.500, 0.755]], "raw_formation_energy_kj_per_mol_atoms": -178.0, "space_group": "No. 10", "total_magnetization_mub_per_fu": 2.37}

***

{"formula": "Ac3Te2S2", "functional": "PBE-GGA", "state": "optimized geometry", "lattice_angstrom": [[7.803, -2.318, 0.000], [7.803, 2.318, 0.000], [-2.656, 0.000, 7.514]], "species": ["Ac", "Ac", "Ac", "Te", "Te", "S", "S"], "frac_coords": [[0.000, 0.000, 0.000], [0.236, 0.236, 0.727], [0.764, 0.764, 0.273], [0.389, 0.389, 0.152], [0.611, 0.611, 0.848], [0.158, 0.158, 0.336], [0.842, 0.842, 0.664]], "raw_formation_energy_kj_per_mol_atoms": -174.7, "space_group": "No. 12", "e_above_lowest_polymorph_mev_per_atom": 0.0, "total_magnetization_mub_per_fu": 0.00}

***

{"formula": "V2CoTcH", "functional": "PBE-GGA", "state": "optimized geometry", "lattice_angstrom": [[3.829, 0.000, 0.000], [0.000, 3.829, 0.000], [0.000, 0.000, 3.701]], "species": ["V", "V", "Co", "Tc", "H"], "frac_coords": [[0.000, 0.500, 0.000], [0.500, 0.000, 0.000], [0.000, 0.000, 0.500], [0.500, 0.500, 0.500], [0.500, 0.500, 0.000]], "space_group": "No. 123", "e_above_lowest_polymorph_mev_per_atom": 122.4, "total_magnetization_mub_per_fu": 0.48}

***

{"formula": "InRhBr2", "functional": "PBE-GGA", "state": "optimized geometry", "lattice_angstrom": [[3.485, 0.000, 0.000], [0.000, 4.451, 0.000], [0.000, 0.000, 5.930]], "species": ["In", "Rh", "Br", "Br"], "frac_coords": [[0.000, 0.000, 0.000], [0.500, 0.000, 0.500], [0.000, 0.500, 0.500], [0.500, 0.500, 0.000]], "raw_formation_energy_kj_per_mol_atoms": 23.3, "space_group": "No. 47", "e_above_lowest_polymorph_mev_per_atom": 517.3, "total_magnetization_mub_per_fu": 0.00}

***

{"formula": "TlIn2Ga", "functional": "PBE-GGA", "state": "optimized geometry", "lattice_angstrom": [[3.420, 0.000, 0.000], [0.000, 3.420, 0.000], [0.000, 0.000, 8.925]], "species": ["Tl", "In", "In", "Ga"], "frac_coords": [[0.000, 0.000, 0.000], [0.500, 0.500, 0.281], [0.500, 0.500, 0.719], [0.000, 0.000, 0.500]], "delta_e_f_ev_per_atom": 0.028, "space_group": "No. 123", "e_above_lowest_polymorph_mev_per_atom": 0.0, "total_magnetization_mub_per_fu": 0.00}

***

{"formula": "GaNiB", "functional": "PBE-GGA", "state": "optimized geometry", "lattice_angstrom": [[2.560, -1.488, 0.000], [2.560, 1.488, 0.000], [-1.898, 0.000, 8.933]], "species": ["Ga", "Ga", "Ni", "Ni", "B", "B"], "frac_coords": [[0.060, 0.060, 0.204], [0.940, 0.940, 0.796], [0.204, 0.204, 0.602], [0.796, 0.796, 0.398], [0.332, 0.332, 0.996], [0.668, 0.668, 0.004]], "delta_e_f_ev_per_atom": 0.172, "space_group": "No. 12", "total_magnetization_mub_per_fu": 0.00}

***

{"formula": "LaAlO3", "functional": "PBE-GGA", "state": "optimized geometry", "lattice_angstrom": [[3.028, -6.721, 0.000], [3.028, 6.721, 0.000], [0.000, 0.000, 3.762]], "species": ["La", "La", "Al", "Al", "O", "O", "O", "O", "O", "O"], "frac_coords": [[0.166, 0.834, 0.750], [0.834, 0.166, 0.250], [0.415, 0.585, 0.750], [0.585, 0.415, 0.250], [0.000, 0.000, 0.000], [0.000, 0.000, 0.500], [0.110, 0.441, 0.750], [0.441, 0.110, 0.250], [0.559, 0.890, 0.750], [0.890, 0.559, 0.250]], "raw_formation_energy_kj_per_mol_atoms": -226.5, "space_group": "No. 63", "total_magnetization_mub_per_fu": 0.27}

***

{"formula": "SmHo2Sc3Bi6", "functional": "PBE-GGA", "state": "optimized geometry", "lattice_angstrom": [[3.797, -6.580, 0.000], [3.797, 6.580, 0.000], [-2.532, 0.000, 7.144]], "species": ["Sm", "Ho", "Ho", "Sc", "Sc", "Sc", "Bi", "Bi", "Bi", "Bi", "Bi", "Bi"], "frac_coords": [[0.000, 0.000, 0.000], [0.333, 0.667, 0.000], [0.667, 0.333, 0.000], [0.164, 0.836, 0.500], [0.500, 0.500, 0.500], [0.836, 0.164, 0.500], [0.089, 0.426, 0.266], [0.250, 0.250, 0.736], [0.426, 0.089, 0.266], [0.574, 0.911, 0.734], [0.750, 0.750, 0.264], [0.911, 0.574, 0.734]], "delta_e_f_ev_per_atom": -0.757, "space_group": "No. 12", "total_magnetization_mub_per_fu": 0.00}

***

{"formula": "BaSr2TlRh", "functional": "PBE-GGA", "state": "optimized geometry", "lattice_angstrom": [[5.789, 0.000, 0.000], [0.000, 5.789, 0.000], [0.000, 0.000, 5.534]], "species": ["Ba", "Sr", "Sr", "Tl", "Rh"], "frac_coords": [[0.000, 0.000, 0.000], [0.000, 0.500, 0.500], [0.500, 0.000, 0.500], [0.500, 0.500, 0.000], [0.500, 0.500, 0.500]], "delta_e_f_ev_per_atom": -0.188, "space_group": "No. 123", "e_above_lowest_polymorph_mev_per_atom": 0.0, "total_magnetization_mub_per_fu": 0.00}